FeS3F | PBE+U | relaxed

## Properties
Excess energy over the best structure of this formula in the dataset = 0.32 eV per formula unit
SG = No. 221
Size of the total moment = 0.044 μB/atom

extended XYZ file:
```
5
Lattice="4.329 0.000 0.000 0.000 4.329 0.000 0.000 0.000 4.329" Properties=species:S:1:pos:R:3 pbc="T T T"
Fe 0.000 0.000 0.000
S 0.000 0.000 2.164
S 0.000 2.164 0.000
S 2.164 0.000 0.000
F 2.164 2.164 2.164
```